No. 1
Ta2ZnCo2 after structural relaxation, computed with PBE.

abc: 6.9215 6.9215 3.0169
angles: 90.00 90.00 90.00
With the nearest neighbours (Å) after each atom.
Element x y z (fractional)
Ta 0.1705 0.3295 0.0000  6 Co 2.48-2.58
Ta 0.3295 0.8295 0.0000  6 Co 2.48-2.58
Ta 0.6705 0.1705 0.0000  6 Co 2.48-2.58
Ta 0.8295 0.6705 0.0000  6 Co 2.48-2.58
Zn 0.0000 0.0000 0.5000  4 Co 2.72, 8 Ta 2.98, 2 Zn 3.02
Zn 0.5000 0.5000 0.5000  4 Co 2.72, 8 Ta 2.98, 2 Zn 3.02
Co 0.1284 0.6284 0.5000  6 Ta 2.48-2.58, 1 Co 2.51, 2 Zn 2.72
Co 0.3716 0.1284 0.5000  6 Ta 2.48-2.58, 1 Co 2.51, 2 Zn 2.72
Co 0.6284 0.8716 0.5000  6 Ta 2.48-2.58, 1 Co 2.51, 2 Zn 2.72
Co 0.8716 0.3716 0.5000  6 Ta 2.48-2.58, 1 Co 2.51, 2 Zn 2.72

Results
As for the space group: P4/mbm (127). The total energy is -8.004 eV per atom. The formation energy is -0.166 eV/atom. For the density of states at the Fermi level, the calculation gives 4.55 states/eV/cell.

No. 2
ErAl4NiPt2 after structural relaxation, computed with PBE.

abc: 8.8759 8.8759 8.8759
angles: 27.57 27.57 27.57
With the nearest neighbours (Å) after each atom.
Element x y z (fractional)
Er 0.0000 0.0000 0.0000  6 Al 3.04
Al 0.1356 0.1356 0.1356  3 Ni 2.57, 4 Pt 2.66
Al 0.4038 0.4038 0.4038  1 Ni 2.46, 3 Pt 2.52
Al 0.5962 0.5962 0.5962  1 Ni 2.46, 3 Pt 2.52
Al 0.8644 0.8644 0.8644  3 Ni 2.57, 4 Pt 2.66
Ni 0.5000 0.5000 0.5000  8 Al 2.46-2.57
Pt 0.2393 0.2393 0.2393  7 Al 2.52-2.66
Pt 0.7607 0.7607 0.7607  7 Al 2.52-2.66

Results
As for the space group: R-3m (166). The total energy is -5.503 eV per atom. The formation energy is -0.829 eV/atom. For the density of states at the Fermi level, the calculation gives 4.08 states/eV/cell.

No. 3
Ti3AsIr after structural relaxation, computed with PBE.

abc: 4.5680 4.5680 4.5680
angles: 90.00 90.00 90.00
With the nearest neighbours (Å) after each atom.
Element x y z (fractional)
Ti 0.0000 0.0000 0.5000  2 As 2.28
Ti 0.0000 0.5000 0.0000  2 As 2.28
Ti 0.5000 0.0000 0.0000  2 As 2.28
As 0.0000 0.0000 0.0000  6 Ti 2.28
Ir 0.5000 0.5000 0.5000  12 Ti 3.23

Results
As for the space group: Pm-3m (221). The total energy is -7.169 eV per atom. The formation energy is 0.270 eV/atom. As for the energy above the most stable polymorph in this dataset: 106.0 meV per atom. For the density of states at the Fermi level, the calculation gives 4.39 states/eV/cell.

No. 4
Y3U3Fe8 after structural relaxation, computed with PBE.

abc: 7.5219 7.5219 8.7368
angles: 120.51 120.51 34.76
With the nearest neighbours (Å) after each atom.
Element x y z (fractional)
Y 0.0000 0.0000 0.0000  4 Fe 2.71-2.98
Y 0.3034 0.3034 0.3771  8 Fe 2.92-3.21
Y 0.6966 0.6966 0.6229  8 Fe 2.92-3.21
U 0.0000 0.0000 0.5000  2 Fe 2.17
U 0.3266 0.3266 0.9601  2 Fe 2.08-2.21
U 0.6734 0.6734 0.0399  2 Fe 2.08-2.21
Fe 0.0882 0.0882 0.3616  1 U 2.17
Fe 0.1305 0.1305 0.8253  2 U 2.41-2.43, 3 Fe 2.57-2.66
Fe 0.3518 0.3518 0.7464  1 U 2.08
Fe 0.4710 0.4710 0.2397  1 U 2.21
Fe 0.5290 0.5290 0.7603  1 U 2.21
Fe 0.6482 0.6482 0.2536  1 U 2.08
Fe 0.8695 0.8695 0.1747  2 U 2.41-2.43, 3 Fe 2.57-2.66
Fe 0.9118 0.9118 0.6384  1 U 2.17

Results
As for the space group: C2/m (12). The total energy is -8.732 eV per atom. The formation energy is -0.092 eV/atom. For the density of states at the Fermi level, the calculation gives 13.70 states/eV/cell.

No. 5
GdDyTl after structural relaxation, computed with PBE.

abc: 7.0331 7.0331 7.0331
angles: 149.61 149.61 43.51
With the nearest neighbours (Å) after each atom.
Element x y z (fractional)
Gd 0.0000 0.0000 0.0000  4 Tl 3.34, 4 Dy 3.56, 4 Gd 3.69
Dy 0.3139 0.3139 0.0000  4 Tl 3.29, 4 Gd 3.56
Tl 0.6601 0.6601 0.0000  4 Dy 3.29, 4 Gd 3.34

Results
As for the space group: I4mm (107). The total energy is -7.255 eV per atom. The formation energy is -0.239 eV/atom. As for the energy above the most stable polymorph in this dataset: 0.0 meV per atom. For the density of states at the Fermi level, the calculation gives 3.17 states/eV/cell.

No. 6
Pm4AlTlO after structural relaxation, computed with PBE.

abc: 9.0325 9.0325 6.7265
angles: 90.00 90.00 136.30
With the nearest neighbours (Å) after each atom.
Element x y z (fractional)
Pm 0.0000 0.5000 0.0000  2 O 2.39
Pm 0.0000 0.5000 0.5000  2 O 2.39
Pm 0.0686 0.9314 0.7500  3 Al 3.11-3.46, 1 O 3.31, 2 Tl 3.43
Pm 0.4191 0.5809 0.7500  1 O 2.57
Pm 0.5000 0.0000 0.0000  2 O 2.39
Pm 0.5000 0.0000 0.5000  2 O 2.39
Pm 0.5809 0.4191 0.2500  1 O 2.57
Pm 0.9314 0.0686 0.2500  3 Al 3.11-3.46, 1 O 3.31, 2 Tl 3.43
Al 0.1168 0.8832 0.2500  9 Pm 3.11-3.46
Al 0.8832 0.1168 0.7500  9 Pm 3.11-3.46
Tl 0.3906 0.6094 0.2500  9 Pm 3.19-3.43
Tl 0.6094 0.3906 0.7500  9 Pm 3.19-3.43
O 0.2659 0.7341 0.7500  5 Pm 2.39-2.57
O 0.7341 0.2659 0.2500  5 Pm 2.39-2.57

Results
As for the space group: Cmcm (63). The total energy is -5.281 eV per atom. The uncorrected formation energy comes out at -986 meV per atom. For the density of states at the Fermi level, the calculation gives 5.45 states/eV/cell.

No. 7
Sm2AgP2N6 after structural relaxation, computed with PBE.

abc: 5.7684 6.3795 6.6393
angles: 61.70 70.96 64.05
With the nearest neighbours (Å) after each atom.
Element x y z (fractional)
Sm 0.1837 0.4556 0.2182  6 N 2.37-2.62
Sm 0.8163 0.5444 0.7818  6 N 2.37-2.62
Ag 0.5000 0.0000 0.0000  4 N 2.22-2.31
P 0.1050 0.9512 0.7758  3 N 1.55-1.60
P 0.8950 0.0488 0.2242  3 N 1.55-1.60
N 0.0208 0.2334 0.6060  1 P 1.55
N 0.0861 0.2118 0.0921  1 P 1.60
N 0.3778 0.7892 0.8712  1 P 1.60
N 0.6222 0.2108 0.1288  1 P 1.60
N 0.9139 0.7882 0.9079  1 P 1.60
N 0.9792 0.7666 0.3940  1 P 1.55

Results
As for the space group: P-1 (2). The total energy is -7.236 eV per atom. The uncorrected formation energy comes out at -594 meV per atom. For the density of states at the Fermi level, the calculation gives 1.76 states/eV/cell.

No. 8
Ba3CaSb after structural relaxation, computed with PBE.

abc: 6.7552 6.7552 6.7552
angles: 90.00 90.00 90.00
With the nearest neighbours (Å) after each atom.
Element x y z (fractional)
Ba 0.0000 0.0000 0.5000  2 Sb 3.38
Ba 0.0000 0.5000 0.0000  2 Sb 3.38
Ba 0.5000 0.0000 0.0000  2 Sb 3.38
Ca 0.5000 0.5000 0.5000  12 Ba 4.78
Sb 0.0000 0.0000 0.0000  6 Ba 3.38

Results
As for the space group: Pm-3m (221). The total energy is -2.708 eV per atom. The uncorrected formation energy comes out at -330 meV per atom. As for the energy above the most stable polymorph in this dataset: 0.0 meV per atom. For the density of states at the Fermi level, the calculation gives 7.88 states/eV/cell.

> Look up the total energy of the fourth one.

-8.732 eV per atom